Computed, not measured: a relaxed Ce3Nd2SmAs6 crystal at the PBE-GGA level of DFT.

```
data_Ce3Nd2SmAs6
_symmetry_space_group_name_H-M 'C 1 2/m 1'
_symmetry_Int_Tables_number 12
_cell_length_a 7.3342
_cell_length_b 12.7031
_cell_length_c 7.3332
_cell_angle_alpha 90.00
_cell_angle_beta 109.48
_cell_angle_gamma 90.00
loop_
_symmetry_equiv_pos_as_xyz
'x,y,z'
'-x,-y,-z'
'-x,y,-z'
'x,-y,z'
'x+1/2,y+1/2,z'
'-x+1/2,-y+1/2,-z'
'-x+1/2,y+1/2,-z'
'x+1/2,-y+1/2,z'
loop_
_atom_site_label
_atom_site_type_symbol
_atom_site_fract_x
_atom_site_fract_y
_atom_site_fract_z
Ce1 Ce 0.0000 0.0000 0.0000
Ce2 Ce 0.0000 0.3329 0.0000
Nd1 Nd 0.0000 0.1665 0.5000
Sm1 Sm 0.0000 0.5000 0.5000
As1 As 0.2462 0.5000 0.2448
As2 As 0.2494 0.1657 0.2452
```

For the formation energy from the elements, the calculation gives -1478 meV/atom.

---

Computed, not measured: a relaxed Ba2Cd3GaPb4 crystal at the PBE-GGA level of DFT.

```
data_Ba2Cd3GaPb4
_symmetry_space_group_name_H-M 'P -4 m 2'
_symmetry_Int_Tables_number 115
_cell_length_a 5.1234
_cell_length_b 5.1234
_cell_length_c 12.2049
_cell_angle_alpha 90.00
_cell_angle_beta 90.00
_cell_angle_gamma 90.00
loop_
_symmetry_equiv_pos_as_xyz
'x,y,z'
'y,-x,-z'
'-x,-y,z'
'-y,x,-z'
'-x,y,z'
'-y,-x,-z'
'x,-y,z'
'y,x,-z'
loop_
_atom_site_label
_atom_site_type_symbol
_atom_site_fract_x
_atom_site_fract_y
_atom_site_fract_z
Ba1 Ba 0.0000 0.5000 0.2396
Cd1 Cd 0.0000 0.0000 0.0000
Cd2 Cd 0.0000 0.5000 0.6376
Ga1 Ga 0.5000 0.5000 0.0000
Pb1 Pb 0.0000 0.0000 0.5000
Pb2 Pb 0.0000 0.5000 0.8753
Pb3 Pb 0.5000 0.5000 0.5000
```

For the formation energy from the elements, the calculation gives -293 meV/atom.

---

Computed, not measured: a relaxed TaBeAg2 crystal at the PBE-GGA level of DFT.

```
data_TaBeAg2
_symmetry_space_group_name_H-M 'I -4 m 2'
_symmetry_Int_Tables_number 119
_symmetry_space_group_name_Hall 'I -4 -2'
_cell_length_a 4.4491
_cell_length_b 4.4491
_cell_length_c 6.3438
_cell_angle_alpha 90.00
_cell_angle_beta 90.00
_cell_angle_gamma 90.00
loop_
_atom_site_label
_atom_site_type_symbol
_atom_site_fract_x
_atom_site_fract_y
_atom_site_fract_z
Ta1 Ta 0.0000 0.0000 0.0000
Be1 Be 0.0000 0.5000 0.2500
Ag1 Ag 0.0000 0.0000 0.5000
Ag2 Ag 0.0000 0.5000 0.7500
```

For the formation energy from the elements, the calculation gives 509 meV/atom.

---

Computed, not measured: a relaxed RuBr6 crystal at the PBE-GGA level of DFT.

```
data_RuBr6
_symmetry_space_group_name_H-M 'P n m a'
_symmetry_Int_Tables_number 62
_cell_length_a 11.2359
_cell_length_b 12.6279
_cell_length_c 6.2088
_cell_angle_alpha 90.00
_cell_angle_beta 90.00
_cell_angle_gamma 90.00
loop_
_symmetry_equiv_pos_as_xyz
'x,y,z'
'-x,-y,-z'
'-x+1/2,-y,z+1/2'
'x+1/2,y,-z+1/2'
'x+1/2,-y+1/2,-z+1/2'
'-x+1/2,y+1/2,z+1/2'
'-x,y+1/2,-z'
'x,-y+1/2,z'
loop_
_atom_site_label
_atom_site_type_symbol
_atom_site_fract_x
_atom_site_fract_y
_atom_site_fract_z
Ru1 Ru 0.1084 0.2500 0.0209
Br1 Br 0.0093 0.2500 0.6573
Br2 Br 0.0366 0.6131 0.8592
Br3 Br 0.2045 0.2500 0.3779
Br4 Br 0.2449 0.1099 0.8964
```

Its energy is -79.0 eV/cell.

---

| no. | total moment (μB/cell) |
| --- | --- |
| 1 | 3.7 |
| 2 | 0.0 |
| 3 | 0.0 |
| 4 | 7.3 |